#P
First-principles (PBE) data for a relaxed structure of InAsBr3, as listed in Alexandria via LeMat-Bulk.

a b c (Å): 5.5378 5.5378 5.5378
angles (deg): 90.00 90.00 90.00
With the nearest neighbours (Å) after each atom.
Space group Pm-3m (No. 221)
One atom of each set of equivalent atoms:
In1 0.0000 0.0000 0.0000 (multiplicity 1)  6 Br 2.77
As1 0.5000 0.5000 0.5000 (multiplicity 1)  12 Br 3.92
Br1 0.0000 0.0000 0.5000 (multiplicity 3)  2 In 2.77


#Q
First-principles (PBE) data for a relaxed structure of InAsBr3, as listed in Alexandria via LeMat-Bulk.

a b c (Å): 5.4447 5.4447 5.4447
angles (deg): 90.00 90.00 90.00
With the nearest neighbours (Å) after each atom.
Space group Pm-3m (No. 221)
One atom of each set of equivalent atoms:
In1 0.0000 0.0000 0.0000 (multiplicity 1)  12 Br 3.85
As1 0.5000 0.5000 0.5000 (multiplicity 1)  6 Br 2.72
Br1 0.0000 0.5000 0.5000 (multiplicity 3)  2 As 2.72


Bottom line: #Q, by a margin of 409 meV per atom.


#P
First-principles (PBE) data for a relaxed structure of KInAsBr2, as listed in Alexandria via LeMat-Bulk.

a b c (Å): 5.8229 5.8229 5.3312
angles (deg): 90.00 90.00 90.00
With the nearest neighbours (Å) after each atom.
Space group P4/mmm (No. 123)
One atom of each set of equivalent atoms:
K1 0.0000 0.0000 0.0000 (multiplicity 1)  8 Br 3.95, 4 As 4.12
In1 0.5000 0.5000 0.5000 (multiplicity 1)  2 As 2.67, 4 Br 2.91
As1 0.5000 0.5000 0.0000 (multiplicity 1)  2 In 2.67
Br1 0.0000 0.5000 0.5000 (multiplicity 2)  2 In 2.91


#Q
First-principles (PBE) data for a relaxed structure of KInAsBr2, as listed in Alexandria via LeMat-Bulk.

a b c (Å): 6.1455 6.1455 6.1380
angles (deg): 90.00 90.00 90.00
With the nearest neighbours (Å) after each atom.
Space group P4/mmm (No. 123)
One atom of each set of equivalent atoms:
K1 0.0000 0.0000 0.0000 (multiplicity 1)  2 As 3.07, 4 Br 3.07
In1 0.5000 0.5000 0.5000 (multiplicity 1)  8 Br 4.34, 4 As 4.35
As1 0.0000 0.0000 0.5000 (multiplicity 1)  2 K 3.07
Br1 0.0000 0.5000 0.0000 (multiplicity 2)  2 K 3.07


Bottom line: #P, by a margin of 485 meV per atom.


#P
First-principles (PBE) data for a relaxed structure of MnInAsBr2, as listed in Alexandria via LeMat-Bulk.

a b c (Å): 5.4204 5.4204 4.7739
angles (deg): 90.00 90.00 90.00
With the nearest neighbours (Å) after each atom.
Space group P4/mmm (No. 123)
One atom of each set of equivalent atoms:
Mn1 0.0000 0.0000 0.0000 (multiplicity 1)  2 As 2.39
In1 0.5000 0.5000 0.5000 (multiplicity 1)  8 Br 3.61, 4 As 3.83
As1 0.0000 0.0000 0.5000 (multiplicity 1)  2 Mn 2.39
Br1 0.0000 0.5000 0.0000 (multiplicity 2)  2 Mn 2.71


#Q
First-principles (PBE) data for a relaxed structure of MnInAsBr2, as listed in Alexandria via LeMat-Bulk.

a b c (Å): 5.4122 5.4122 5.4650
angles (deg): 90.00 90.00 90.00
With the nearest neighbours (Å) after each atom.
Space group P4/mmm (No. 123)
One atom of each set of equivalent atoms:
Mn1 0.0000 0.0000 0.0000 (multiplicity 1)  4 As 3.83, 8 Br 3.85
In1 0.5000 0.5000 0.5000 (multiplicity 1)  4 Br 2.71, 2 As 2.73
As1 0.5000 0.5000 0.0000 (multiplicity 1)  2 In 2.73
Br1 0.0000 0.5000 0.5000 (multiplicity 2)  2 In 2.71


Bottom line: #P, by a margin of 561 meV per atom.


#P
First-principles (PBE) data for a relaxed structure of InAsBr2N, as listed in Alexandria via LeMat-Bulk.

a b c (Å): 5.6129 5.6129 5.4471
angles (deg): 90.00 90.00 90.00
With the nearest neighbours (Å) after each atom.
Space group P4/mmm (No. 123)
One atom of each set of equivalent atoms:
In1 0.0000 0.0000 0.0000 (multiplicity 1)  2 As 2.72, 4 Br 2.81
As1 0.0000 0.0000 0.5000 (multiplicity 1)  2 In 2.72
Br1 0.0000 0.5000 0.0000 (multiplicity 2)  2 In 2.81
N1 0.5000 0.5000 0.5000 (multiplicity 1)  8 Br 3.91, 4 As 3.97


#Q
First-principles (PBE) data for a relaxed structure of InAsBr2N, as listed in Alexandria via LeMat-Bulk.

a b c (Å): 6.1350 6.1350 3.6766
angles (deg): 90.00 90.00 90.00
With the nearest neighbours (Å) after each atom.
Space group P4/mmm (No. 123)
One atom of each set of equivalent atoms:
In1 0.0000 0.0000 0.0000 (multiplicity 1)  8 Br 3.58, 2 In 3.68
As1 0.5000 0.5000 0.0000 (multiplicity 1)  2 N 1.84
Br1 0.0000 0.5000 0.5000 (multiplicity 2)  2 N 3.07
N1 0.5000 0.5000 0.5000 (multiplicity 1)  2 As 1.84


Bottom line: #Q, by a margin of 511 meV per atom.